Entry from the Alexandria database: crystalline Y2WCl at its relaxed geometry (PBE).

Structure (CIF):
```
data_Y2WCl
_chemical_formula_sum 'Y2 W1 Cl1'
_cell_length_a 3.406
_cell_length_b 4.543
_cell_length_c 6.500
_cell_angle_alpha 90.00
_cell_angle_beta 90.00
_cell_angle_gamma 90.00
_space_group_name_H-M_alt 'P m m m'
_space_group_IT_number 47
loop_
_space_group_symop_operation_xyz
'x,y,z'
'-x,-y,-z'
'-x,-y,z'
'x,y,-z'
'x,-y,-z'
'-x,y,z'
'-x,y,-z'
'x,-y,z'
loop_
_atom_site_label
_atom_site_type_symbol
_atom_site_fract_x
_atom_site_fract_y
_atom_site_fract_z
Y1 Y 0.000 0.000 0.000
Y2 Y 0.500 0.000 0.500
W1 W 0.000 0.500 0.500
Cl1 Cl 0.500 0.500 0.000
```

Output
DOS at the Fermi energy, states/eV/f.u.: 4.63
ΔE to the lowest computed polymorph, eV per atom: 0.8411
E, eV/atom: -6.470
Formation energy without anion corrections, eV per atom: 0.462



Entry from the Alexandria database: crystalline RbSbTe2Br at its relaxed geometry (PBE).

Structure (CIF):
```
data_RbSbTe2Br
_chemical_formula_sum 'Rb1 Sb1 Te2 Br1'
_cell_length_a 5.980
_cell_length_b 5.980
_cell_length_c 5.612
_cell_angle_alpha 90.00
_cell_angle_beta 90.00
_cell_angle_gamma 90.00
_space_group_name_H-M_alt 'P 4/m m m'
_space_group_IT_number 123
_space_group_name_Hall '-P 4 2'
loop_
_atom_site_label
_atom_site_type_symbol
_atom_site_fract_x
_atom_site_fract_y
_atom_site_fract_z
Rb1 Rb 0.000 0.000 0.000
Sb1 Sb 0.500 0.500 0.000
Te1 Te 0.000 0.500 0.500
Br1 Br 0.500 0.500 0.500
```

Output
DOS at the Fermi energy, states/eV/f.u.: 5.21
ΔE to the lowest computed polymorph, eV per atom: 0.0000
E, eV/atom: -2.367
Formation energy without anion corrections, eV per atom: 0.242



Entry from the Alexandria database: crystalline TePdWI2 at its relaxed geometry (PBE).

Structure (CIF):
```
data_TePdWI2
_chemical_formula_sum 'Te1 Pd1 W1 I2'
_cell_length_a 5.332
_cell_length_b 5.332
_cell_length_c 5.442
_cell_angle_alpha 90.00
_cell_angle_beta 90.00
_cell_angle_gamma 90.00
_space_group_name_H-M_alt 'P 4/m m m'
_space_group_IT_number 123
_space_group_name_Hall '-P 4 2'
loop_
_atom_site_label
_atom_site_type_symbol
_atom_site_fract_x
_atom_site_fract_y
_atom_site_fract_z
Te1 Te 0.000 0.000 0.000
Pd1 Pd 0.000 0.000 0.500
W1 W 0.500 0.500 0.000
I1 I 0.000 0.500 0.500
```

Output
DOS at the Fermi energy, states/eV/f.u.: 6.14
ΔE to the lowest computed polymorph, eV per atom: 0.3440
E, eV/atom: -3.611
Formation energy without anion corrections, eV per atom: 1.267



- Which value of formation energy without anion corrections does entry 3 give?
  1.267 eV per atom